No. 1
Entry from Alexandria via LeMat-Bulk: crystalline IrC at its relaxed geometry (GGA-PBE).

E_form (kJ/mol of atoms): 81
Crystal system: tetragonal

POSCAR file:
```
IrC
1.0
8.823 0.000 0.000
0.000 8.823 0.000
0.000 0.000 2.820
Ir C
8 8
Direct
0.111 0.254 0.000 Ir
0.246 0.611 0.500 Ir
0.254 0.889 0.000 Ir
0.389 0.246 0.500 Ir
0.611 0.754 0.500 Ir
0.746 0.111 0.000 Ir
0.754 0.389 0.500 Ir
0.889 0.746 0.000 Ir
0.103 0.694 0.000 C
0.194 0.397 0.500 C
0.306 0.103 0.000 C
0.397 0.806 0.500 C
0.603 0.194 0.500 C
0.694 0.897 0.000 C
0.806 0.603 0.500 C
0.897 0.306 0.000 C
```

---

No. 2
Entry from Alexandria via LeMat-Bulk: crystalline NbCr2B at its relaxed geometry (GGA-PBE).

E_form (kJ/mol of atoms): -14
Crystal system: orthorhombic

POSCAR file:
```
NbCr2B
1.0
3.031 0.000 0.000
0.000 17.570 0.000
0.000 0.000 3.582
Nb Cr B
4 8 4
Direct
0.000 0.117 0.250 Nb
0.000 0.883 0.750 Nb
0.500 0.383 0.750 Nb
0.500 0.617 0.250 Nb
0.000 0.251 0.750 Cr
0.000 0.467 0.250 Cr
0.000 0.533 0.750 Cr
0.000 0.749 0.250 Cr
0.500 0.033 0.750 Cr
0.500 0.249 0.250 Cr
0.500 0.751 0.750 Cr
0.500 0.967 0.250 Cr
0.000 0.338 0.250 B
0.000 0.662 0.750 B
0.500 0.162 0.750 B
0.500 0.838 0.250 B
```

---

No. 3
Entry from Alexandria via LeMat-Bulk: crystalline Zr2Zn16Tc at its relaxed geometry (GGA-PBE).

E_form (kJ/mol of atoms): -10
Crystal system: trigonal

POSCAR file:
```
Zr2Zn16Tc
1.0
4.435 2.561 4.306
-4.435 2.561 4.306
0.000 -5.121 4.306
Zr Zn Tc
2 16 1
Direct
0.000 0.000 0.000 Zr
0.349 0.349 0.349 Zr
0.024 0.024 0.487 Zn
0.024 0.487 0.024 Zn
0.159 0.659 0.659 Zn
0.299 0.299 0.806 Zn
0.299 0.806 0.299 Zn
0.367 0.655 0.947 Zn
0.367 0.947 0.655 Zn
0.487 0.024 0.024 Zn
0.655 0.367 0.947 Zn
0.655 0.947 0.367 Zn
0.659 0.159 0.659 Zn
0.659 0.659 0.159 Zn
0.767 0.767 0.767 Zn
0.806 0.299 0.299 Zn
0.947 0.367 0.655 Zn
0.947 0.655 0.367 Zn
0.557 0.557 0.557 Tc
```

---

| no. | DFT total energy (eV per cell) |
| --- | --- |
| 1 | -131.23 |
| 2 | -146.22 |
| 3 | -49.78 |